# TbDy2ScGa2

A geometry-optimized TbDy2ScGa2 structure (PBE-GGA, Alexandria). Values from VASP.

ΔH_f (0 K) = -434 meV per atom
Space group = No. 26

Structure (Quantum ESPRESSO input):
```
&SYSTEM
  ibrav = 0, nat = 12, ntyp = 4
/
ATOMIC_SPECIES
Tb 158.93 Tb.upf
Dy 162.50 Dy.upf
Sc 44.96 Sc.upf
Ga 69.72 Ga.upf
CELL_PARAMETERS angstrom
-0.6188 0.6886 4.6292
-4.3282 -5.1531 0.1880
7.0547 -5.8592 1.8145
ATOMIC_POSITIONS crystal
Tb 0.0000 0.9616 0.4471
Tb 0.0000 0.4616 0.5529
Dy 0.5000 0.0472 0.0561
Dy 0.0000 0.3468 0.1848
Dy 0.5000 0.5472 0.9439
Dy 0.0000 0.8468 0.8152
Sc 0.5000 0.1647 0.6901
Sc 0.5000 0.6647 0.3099
Ga 0.0000 0.2879 0.8603
Ga 0.5000 0.2374 0.3801
Ga 0.0000 0.7879 0.1397
Ga 0.5000 0.7374 0.6199
```